DFT (PBE) results for a relaxed structure of LiAcTbIr.

a b c (Å): 5.164 5.164 5.164
angles (deg): 60.00 60.00 60.00
Sites, in units of the cell vectors:
Tb1 0.750 0.750 0.750
Ir1 0.500 0.500 0.500
Ac1 0.250 0.250 0.250
Li1 0.000 0.000 0.000

Output
E_tot = -5.24 eV per atom
Spin magnetization = 0.00 μB/cell
N(E_F) = 0.78 states/eV/atom
Space group = No. 216
ΔH_f (0 K) = -0.360 eV per atom

DFT (PBE) results for a relaxed structure of LiAcThIr.

a b c (Å): 5.225 5.225 5.225
angles (deg): 60.00 60.00 60.00
Sites, in units of the cell vectors:
Li1 0.000 0.000 0.000
Th1 0.750 0.750 0.750
Ir1 0.500 0.500 0.500
Ac1 0.250 0.250 0.250

Output
E_tot = -5.80 eV per atom
Spin magnetization = 0.00 μB/cell
N(E_F) = 1.00 states/eV/atom
Space group = No. 216
ΔH_f (0 K) = -0.223 eV per atom

DFT (PBE) results for a relaxed structure of LiAcTlIr.

a b c (Å): 5.055 5.055 5.055
angles (deg): 60.00 60.00 60.00
Sites, in units of the cell vectors:
Ir1 0.500 0.500 0.500
Tl1 0.250 0.250 0.250
Li1 0.000 0.000 0.000
Ac1 0.750 0.750 0.750

Output
E_tot = -4.53 eV per atom
Spin magnetization = 0.00 μB/cell
N(E_F) = 0.57 states/eV/atom
Space group = No. 216
ΔH_f (0 K) = -0.214 eV per atom

Q: Number 1 is which compound?
A: LiAcTbIr